# PBE NdHo6In2, optimized geometry
# ΔE to the lowest computed polymorph = 0 kJ/mol of formula units
# Formation enthalpy at 0 K = -1.765 eV/f.u.
# Space-group type = C2/m, No. 12
data_NdHo6In2
_cell_length_a 3.745
_cell_length_b 6.609
_cell_length_c 11.849
_cell_angle_alpha 74.75
_cell_angle_beta 80.91
_cell_angle_gamma 73.54
_symmetry_space_group_name_H-M 'P 1'
_symmetry_Int_Tables_number 1
loop_
_symmetry_equiv_pos_as_xyz
'x,y,z'
loop_
_atom_site_label
_atom_site_fract_x
_atom_site_fract_y
_atom_site_fract_z
Nd1 0.000 0.000 0.000
Ho1 0.687 0.501 0.126
Ho2 0.313 0.499 0.874
Ho3 0.310 0.798 0.582
Ho4 0.987 0.680 0.346
Ho5 0.013 0.320 0.654
Ho6 0.690 0.202 0.418
In1 0.355 0.073 0.216
In2 0.645 0.927 0.784



# PBE KTi2O4, optimized geometry
# ΔE to the lowest computed polymorph = 0 kJ/mol of formula units
# Energy relative to the elements, uncorrected = -2661 meV/atom
# Space-group type = Pnma, No. 62
data_KTi2O4
_cell_length_a 3.007
_cell_length_b 9.803
_cell_length_c 11.144
_cell_angle_alpha 90.00
_cell_angle_beta 90.00
_cell_angle_gamma 90.00
_symmetry_space_group_name_H-M 'P 1'
_symmetry_Int_Tables_number 1
loop_
_symmetry_equiv_pos_as_xyz
'x,y,z'
loop_
_atom_site_label
_atom_site_fract_x
_atom_site_fract_y
_atom_site_fract_z
K1 0.250 0.755 0.343
K2 0.750 0.245 0.657
K3 0.250 0.255 0.157
K4 0.750 0.745 0.843
Ti1 0.750 0.069 0.895
Ti2 0.250 0.931 0.105
Ti3 0.750 0.569 0.605
Ti4 0.250 0.431 0.395
Ti5 0.250 0.423 0.896
Ti6 0.750 0.577 0.104
Ti7 0.250 0.923 0.604
Ti8 0.750 0.077 0.396
O1 0.750 0.066 0.070
O2 0.250 0.934 0.930
O3 0.750 0.566 0.430
O4 0.250 0.434 0.570
O5 0.750 0.979 0.717
O6 0.250 0.021 0.283
O7 0.750 0.479 0.783
O8 0.250 0.521 0.217
O9 0.750 0.396 0.014
O10 0.250 0.604 0.986
O11 0.750 0.896 0.486
O12 0.250 0.104 0.514
O13 0.250 0.210 0.867
O14 0.750 0.790 0.133
O15 0.250 0.710 0.633
O16 0.750 0.290 0.367



# PBE HfTi2As2, optimized geometry
# ΔE to the lowest computed polymorph = 0 kJ/mol of formula units
# Formation enthalpy at 0 K = -4.224 eV/f.u.
# Space-group type = P4/mbm, No. 127
data_HfTi2As2
_cell_length_a 7.081
_cell_length_b 7.081
_cell_length_c 3.402
_cell_angle_alpha 90.00
_cell_angle_beta 90.00
_cell_angle_gamma 90.00
_symmetry_space_group_name_H-M 'P 1'
_symmetry_Int_Tables_number 1
loop_
_symmetry_equiv_pos_as_xyz
'x,y,z'
loop_
_atom_site_label
_atom_site_fract_x
_atom_site_fract_y
_atom_site_fract_z
As1 0.356 0.856 0.000
As2 0.856 0.644 0.000
As3 0.644 0.144 0.000
As4 0.144 0.356 0.000
Hf1 0.000 0.000 0.000
Hf2 0.500 0.500 0.000
Ti1 0.151 0.651 0.500
Ti2 0.651 0.849 0.500
Ti3 0.849 0.349 0.500
Ti4 0.349 0.151 0.500



# PBE CrRh4W, optimized geometry
# ΔE to the lowest computed polymorph = 236 kJ/mol of formula units
# Formation enthalpy at 0 K = 1.767 eV/f.u.
# Space-group type = F-43m, No. 216
data_CrRh4W
_cell_length_a 5.061
_cell_length_b 5.061
_cell_length_c 5.061
_cell_angle_alpha 60.00
_cell_angle_beta 60.00
_cell_angle_gamma 60.00
_symmetry_space_group_name_H-M 'P 1'
_symmetry_Int_Tables_number 1
loop_
_symmetry_equiv_pos_as_xyz
'x,y,z'
loop_
_atom_site_label
_atom_site_fract_x
_atom_site_fract_y
_atom_site_fract_z
Cr1 0.000 0.000 0.000
Rh1 0.876 0.375 0.375
Rh2 0.375 0.375 0.876
Rh3 0.375 0.876 0.375
Rh4 0.375 0.375 0.375
W1 0.750 0.750 0.750



# PBE Be2GaBAu, optimized geometry
# Formation enthalpy at 0 K = 1.587 eV/f.u.
# Space-group type = P4/mmm, No. 123
data_Be2GaBAu
_cell_length_a 3.730
_cell_length_b 4.878
_cell_length_c 3.730
_cell_angle_alpha 90.00
_cell_angle_beta 90.00
_cell_angle_gamma 90.00
_symmetry_space_group_name_H-M 'P 1'
_symmetry_Int_Tables_number 1
loop_
_symmetry_equiv_pos_as_xyz
'x,y,z'
loop_
_atom_site_label
_atom_site_fract_x
_atom_site_fract_y
_atom_site_fract_z
Be1 0.000 0.000 0.500
Be2 0.500 0.000 0.000
B1 0.000 0.000 0.000
Au1 0.000 0.500 0.000
Ga1 0.500 0.500 0.500



# PBE Y2Er3Ga4, optimized geometry
# Formation enthalpy at 0 K = -5.370 eV/f.u.
# Space-group type = P2_1/c, No. 14
data_Y2Er3Ga4
_cell_length_a 7.371
_cell_length_b 7.884
_cell_length_c 7.919
_cell_angle_alpha 90.00
_cell_angle_beta 90.00
_cell_angle_gamma 106.57
_symmetry_space_group_name_H-M 'P 1'
_symmetry_Int_Tables_number 1
loop_
_symmetry_equiv_pos_as_xyz
'x,y,z'
loop_
_atom_site_label
_atom_site_fract_x
_atom_site_fract_y
_atom_site_fract_z
Y1 0.573 0.190 0.316
Y2 0.927 0.810 0.816
Y3 0.427 0.810 0.684
Y4 0.073 0.190 0.184
Er1 0.000 0.500 0.500
Er2 0.500 0.500 0.000
Er3 0.751 0.239 0.825
Er4 0.749 0.761 0.325
Er5 0.249 0.761 0.175
Er6 0.251 0.239 0.675
Ga1 0.863 0.081 0.529
Ga2 0.637 0.919 0.029
Ga3 0.137 0.919 0.471
Ga4 0.363 0.081 0.971
Ga5 0.878 0.489 0.124
Ga6 0.622 0.511 0.624
Ga7 0.122 0.511 0.876
Ga8 0.378 0.489 0.376



# PBE ScAl2Sb, optimized geometry
# Energy relative to the elements, uncorrected = -129 meV/atom
# Space-group type = P4mm, No. 99
data_ScAl2Sb
_cell_length_a 3.159
_cell_length_b 3.159
_cell_length_c 8.483
_cell_angle_alpha 90.00
_cell_angle_beta 90.00
_cell_angle_gamma 90.00
_symmetry_space_group_name_H-M 'P 1'
_symmetry_Int_Tables_number 1
loop_
_symmetry_equiv_pos_as_xyz
'x,y,z'
loop_
_atom_site_label
_atom_site_fract_x
_atom_site_fract_y
_atom_site_fract_z
Sc1 0.500 0.500 0.773
Sb1 0.000 0.000 0.511
Al1 0.000 0.000 0.005
Al2 0.500 0.500 0.211



# PBE YCd2Hg, optimized geometry
# Formation enthalpy at 0 K = -0.905 eV/f.u.
# Space-group type = C2/m, No. 12
data_YCd2Hg
_cell_length_a 5.848
_cell_length_b 5.848
_cell_length_c 4.888
_cell_angle_alpha 64.75
_cell_angle_beta 64.75
_cell_angle_gamma 41.38
_symmetry_space_group_name_H-M 'P 1'
_symmetry_Int_Tables_number 1
loop_
_symmetry_equiv_pos_as_xyz
'x,y,z'
loop_
_atom_site_label
_atom_site_fract_x
_atom_site_fract_y
_atom_site_fract_z
Cd1 0.991 0.991 0.008
Cd2 0.509 0.509 0.492
Hg1 0.250 0.250 0.250
Y1 0.750 0.750 0.750



# PBE DyErGa2Pd2, optimized geometry
# Formation enthalpy at 0 K = -5.174 eV/f.u.
# Space-group type = P-3m1, No. 164
data_DyErGa2Pd2
_cell_length_a 4.495
_cell_length_b 4.495
_cell_length_c 6.789
_cell_angle_alpha 90.00
_cell_angle_beta 90.00
_cell_angle_gamma 120.00
_symmetry_space_group_name_H-M 'P 1'
_symmetry_Int_Tables_number 1
loop_
_symmetry_equiv_pos_as_xyz
'x,y,z'
loop_
_atom_site_label
_atom_site_fract_x
_atom_site_fract_y
_atom_site_fract_z
Dy1 0.000 0.000 0.000
Er1 0.000 0.000 0.500
Ga1 0.333 0.667 0.745
Ga2 0.667 0.333 0.255
Pd1 0.333 0.667 0.257
Pd2 0.667 0.333 0.743



# PBE BeZn2Ru, optimized geometry
# Formation enthalpy at 0 K = 0.301 eV/f.u.
# Space-group type = Cmmm, No. 65
data_BeZn2Ru
_cell_length_a 4.576
_cell_length_b 4.576
_cell_length_c 2.733
_cell_angle_alpha 90.00
_cell_angle_beta 90.00
_cell_angle_gamma 114.07
_symmetry_space_group_name_H-M 'P 1'
_symmetry_Int_Tables_number 1
loop_
_symmetry_equiv_pos_as_xyz
'x,y,z'
loop_
_atom_site_label
_atom_site_fract_x
_atom_site_fract_y
_atom_site_fract_z
Ru1 0.000 0.500 0.500
Zn1 0.000 0.000 0.000
Zn2 0.500 0.500 0.000
Be1 0.500 0.000 0.500



# PBE KSeSCl2, optimized geometry
# ΔE to the lowest computed polymorph = 0 kJ/mol of formula units
# Energy relative to the elements, uncorrected = -560 meV/atom
# Space-group type = P4/mmm, No. 123
data_KSeSCl2
_cell_length_a 5.261
_cell_length_b 5.261
_cell_length_c 4.876
_cell_angle_alpha 90.00
_cell_angle_beta 90.00
_cell_angle_gamma 90.00
_symmetry_space_group_name_H-M 'P 1'
_symmetry_Int_Tables_number 1
loop_
_symmetry_equiv_pos_as_xyz
'x,y,z'
loop_
_atom_site_label
_atom_site_fract_x
_atom_site_fract_y
_atom_site_fract_z
K1 0.500 0.500 0.500
S1 0.000 0.000 0.500
Se1 0.000 0.000 0.000
Cl1 0.000 0.500 0.000
Cl2 0.500 0.000 0.000



# PBE YCu2Au, optimized geometry
# ΔE to the lowest computed polymorph = 15 kJ/mol of formula units
# Formation enthalpy at 0 K = -1.294 eV/f.u.
# Space-group type = Fm-3m, No. 225
data_YCu2Au
_cell_length_a 4.625
_cell_length_b 4.625
_cell_length_c 4.625
_cell_angle_alpha 60.00
_cell_angle_beta 60.00
_cell_angle_gamma 60.00
_symmetry_space_group_name_H-M 'P 1'
_symmetry_Int_Tables_number 1
loop_
_symmetry_equiv_pos_as_xyz
'x,y,z'
loop_
_atom_site_label
_atom_site_fract_x
_atom_site_fract_y
_atom_site_fract_z
Y1 0.000 0.000 0.000
Au1 0.500 0.500 0.500
Cu1 0.250 0.250 0.250
Cu2 0.750 0.750 0.750



- What is the formula in the tenth record?
  BeZn2Ru